--- A ---
Material: Pa2CdBi4
Method: DFT, GGA-PBE
State: relaxed

## Properties
As for the crystal system: tetragonal.

```
Pa2CdBi4
1.0
-3.744 1.383 2.171
-2.407 -0.521 -3.819
-2.083 -9.800 2.651
Pa Cd Bi
2 1 4
Cartesian
-3.412 -6.551 3.044 Pa
-1.747 -2.818 -1.218 Pa
-3.076 0.431 -0.824 Cd
-2.267 -1.167 1.588 Bi
-2.892 -8.202 0.238 Bi
-4.117 -4.469 0.501 Bi
-1.042 -4.900 1.325 Bi
```

---

--- B ---
Material: Pa2CdBi4
Method: DFT, GGA-PBE
State: relaxed

## Properties
As for the crystal system: orthorhombic.

```
Pa2CdBi4
1.0
-3.624 -2.318 2.565
4.319 -4.470 2.062
0.363 4.588 4.658
Pa Bi Cd
2 4 1
Cartesian
3.249 -2.020 2.764 Pa
1.433 2.139 3.956 Pa
3.628 0.092 5.208 Bi
1.053 0.027 1.512 Bi
-1.631 1.135 3.612 Bi
0.347 -3.394 2.314 Bi
0.529 -1.100 4.643 Cd
```

---

List of relative energies, unit kJ/mol of atoms: A 7.3; B 0.0

---

--- A ---
Material: Cd3BiPb3
Method: DFT, GGA-PBE
State: relaxed

## Properties
As for the crystal system: cubic.

```
Cd3BiPb3
1.0
8.218 0.000 0.000
0.000 8.218 0.000
0.000 0.000 8.218
Pb Bi Cd
6 2 6
Cartesian
0.000 2.054 4.109 Pb
0.000 6.163 4.109 Pb
4.109 0.000 6.163 Pb
6.163 4.109 0.000 Pb
4.109 0.000 2.054 Pb
2.054 4.109 0.000 Pb
4.109 4.109 4.109 Bi
0.000 0.000 0.000 Bi
2.054 0.000 4.109 Cd
0.000 4.109 2.054 Cd
4.109 6.163 0.000 Cd
6.163 0.000 4.109 Cd
0.000 4.109 6.163 Cd
4.109 2.054 0.000 Cd
```

---

--- B ---
Material: Cd3BiPb3
Method: DFT, GGA-PBE
State: relaxed

## Properties
As for the crystal system: trigonal.

```
Cd3BiPb3
1.0
6.775 0.000 2.187
3.034 6.057 2.187
0.388 0.240 10.386
Cd Bi Pb
6 2 6
Cartesian
3.479 2.148 5.771 Cd
7.353 2.149 7.021 Cd
5.214 5.612 7.021 Cd
4.983 0.685 7.738 Cd
2.844 4.148 7.738 Cd
6.718 4.149 8.988 Cd
7.268 4.488 12.246 Bi
2.929 1.809 2.513 Bi
3.995 4.604 10.799 Pb
5.906 1.510 10.799 Pb
2.445 1.509 9.682 Pb
7.752 4.787 5.077 Pb
4.292 4.787 3.960 Pb
6.203 1.693 3.960 Pb
```

---

List of relative energies, unit kJ/mol of atoms: A 51.9; B 0.0

---

--- A ---
Material: CdBiPb2
Method: DFT, GGA-PBE
State: relaxed

## Properties
As for the crystal system: tetragonal.

```
CdBiPb2
1.0
-0.866 2.352 -3.105
-3.006 -2.426 -0.999
-4.696 4.023 4.358
Pb Bi Cd
2 1 1
Cartesian
-3.549 3.041 3.294 Pb
-1.147 0.983 1.064 Pb
-4.284 1.974 0.127 Bi
-1.936 -0.037 -2.052 Cd
```

---

--- B ---
Material: CdBiPb2
Method: DFT, GGA-PBE
State: relaxed

## Properties
As for the crystal system: tetragonal.

```
CdBiPb2
1.0
-2.125 3.879 1.251
-1.220 -2.121 4.507
4.381 1.752 2.011
Pb Bi Cd
2 1 1
Cartesian
2.191 0.876 1.005 Pb
-0.610 -1.061 2.254 Pb
0.518 1.755 3.884 Bi
-1.063 1.940 0.625 Cd
```

---

List of relative energies, unit kJ/mol of atoms: A 1.0; B 0.0

---

--- A ---
Material: CdBiPb2
Method: DFT, GGA-PBE
State: relaxed

## Properties
As for the crystal system: trigonal.

```
CdBiPb2
1.0
4.749 0.000 0.000
2.374 4.113 0.000
2.374 1.371 6.929
Cd Bi Pb
1 1 2
Cartesian
4.749 2.742 3.506 Cd
4.749 2.742 0.003 Bi
2.374 1.371 5.142 Pb
2.374 1.371 1.744 Pb
```

---

--- B ---
Material: CdBiPb2
Method: DFT, GGA-PBE
State: relaxed

## Properties
As for the crystal system: monoclinic.

```
CdBiPb2
1.0
4.998 0.000 0.000
0.000 7.041 0.595
0.000 -2.756 6.663
Cd Bi Pb
2 2 4
Cartesian
1.250 1.763 1.720 Cd
3.749 2.522 5.538 Cd
3.749 3.670 2.231 Bi
1.250 0.615 5.027 Bi
3.749 -0.065 2.846 Pb
1.250 4.350 4.412 Pb
1.250 5.740 1.004 Pb
3.749 -1.455 6.253 Pb
```

---

List of relative energies, unit kJ/mol of atoms: A 7.1; B 0.0

---

--- A ---
Material: CdBiPb2
Method: DFT, GGA-PBE
State: relaxed

## Properties
As for the crystal system: cubic.

```
CdBiPb2
1.0
5.580 0.000 0.000
2.790 4.832 0.000
2.790 1.611 4.556
Pb Bi Cd
2 1 1
Cartesian
2.790 1.611 1.139 Pb
8.369 4.832 3.417 Pb
0.000 0.000 0.000 Bi
5.580 3.221 2.278 Cd
```

---

--- B ---
Material: CdBiPb2
Method: DFT, GGA-PBE
State: relaxed

## Properties
As for the crystal system: tetragonal.

```
CdBiPb2
1.0
7.129 0.000 0.000
0.000 7.129 0.000
3.565 3.565 6.545
Pb Bi Cd
4 2 2
Cartesian
5.250 1.782 1.636 Pb
1.879 5.347 1.636 Pb
5.347 5.444 4.909 Pb
8.912 8.815 4.909 Pb
0.000 0.000 0.000 Bi
7.129 3.565 3.272 Bi
3.565 3.565 0.000 Cd
3.565 7.129 3.272 Cd
```

---

List of relative energies, unit kJ/mol of atoms: A 0.0; B 15.2

---

--- A ---
Material: CdBi6Pb12
Method: DFT, GGA-PBE
State: relaxed

## Properties
As for the crystal system: trigonal.

```
CdBi6Pb12
1.0
8.114 0.000 2.601
-4.084 7.826 3.436
-0.054 0.000 9.472
Cd Bi Pb
1 6 12
Cartesian
0.000 0.000 0.000 Cd
1.349 3.786 4.826 Bi
-2.318 5.517 7.500 Bi
-0.236 6.096 10.310 Bi
2.627 4.039 10.683 Bi
6.294 2.309 8.009 Bi
4.212 1.730 5.199 Bi
0.842 6.632 6.789 Pb
1.878 6.960 12.863 Pb
5.330 2.060 11.397 Pb
3.134 1.194 8.720 Pb
2.098 0.866 2.646 Pb
-1.354 5.766 4.112 Pb
0.306 3.329 8.029 Pb
-0.561 2.950 2.068 Pb
1.146 0.379 6.050 Pb
3.670 4.497 7.480 Pb
4.537 4.876 13.441 Pb
2.830 7.447 9.459 Pb
```

---

--- B ---
Material: CdBi6Pb12
Method: DFT, GGA-PBE
State: relaxed

## Properties
As for the crystal system: trigonal.

```
CdBi6Pb12
1.0
9.038 0.309 0.370
-1.065 8.980 0.370
-1.065 -1.241 8.902
Cd Bi Pb
1 6 12
Cartesian
0.000 0.000 0.000 Cd
5.199 7.414 4.593 Bi
4.539 2.425 1.526 Bi
0.368 4.649 2.659 Bi
1.709 0.634 5.049 Bi
2.369 5.623 8.115 Bi
6.540 3.400 6.982 Bi
6.269 4.367 3.826 Pb
2.000 6.649 4.980 Pb
3.366 2.539 7.432 Pb
0.639 3.681 5.815 Pb
4.908 1.400 4.661 Pb
3.542 5.509 2.210 Pb
-0.826 7.607 3.119 Pb
-0.737 5.040 8.753 Pb
5.093 8.606 1.600 Pb
7.734 0.441 6.523 Pb
7.645 3.008 0.889 Pb
1.815 -0.557 8.042 Pb
```

---

List of relative energies, unit kJ/mol of atoms: A 0.0; B 6.9

---

--- A ---
Material: CdBi2Pb6
Method: DFT, GGA-PBE
State: relaxed

## Properties
As for the crystal system: tetragonal.

```
CdBi2Pb6
1.0
4.877 0.000 -0.001
0.000 10.697 0.000
0.001 0.000 10.698
Cd Bi Pb
2 4 12
Cartesian
2.438 5.349 0.000 Cd
0.001 0.000 5.349 Cd
0.001 3.630 8.985 Bi
2.439 8.979 7.062 Bi
2.439 1.718 3.635 Bi
4.877 7.067 1.713 Bi
4.877 0.008 1.817 Pb
0.001 7.165 5.351 Pb
4.878 7.092 8.949 Pb
2.439 1.743 7.097 Pb
2.440 1.817 10.696 Pb
2.439 5.357 3.531 Pb
0.001 10.689 8.880 Pb
4.877 3.532 5.346 Pb
0.000 3.606 1.748 Pb
2.439 8.954 3.601 Pb
2.439 8.881 0.002 Pb
2.439 5.341 7.167 Pb
```

---

--- B ---
Material: CdBi2Pb6
Method: DFT, GGA-PBE
State: relaxed

## Properties
As for the crystal system: monoclinic.

```
CdBi2Pb6
1.0
5.996 0.000 0.352
0.000 9.576 0.000
-0.539 0.000 10.032
Cd Bi Pb
2 4 12
Cartesian
2.998 4.788 0.176 Cd
-0.270 0.000 5.016 Cd
5.113 3.760 8.101 Bi
3.073 8.548 7.475 Bi
2.384 1.028 2.909 Bi
0.344 5.816 2.283 Bi
5.461 9.172 2.090 Pb
5.301 6.483 5.733 Pb
5.140 6.742 9.505 Pb
3.045 1.954 6.071 Pb
2.884 1.694 9.843 Pb
3.263 4.384 3.454 Pb
-0.004 0.404 8.294 Pb
0.155 3.094 4.651 Pb
0.317 2.834 0.879 Pb
2.411 7.622 4.313 Pb
2.573 7.882 0.541 Pb
2.194 5.192 6.930 Pb
```

---

List of relative energies, unit kJ/mol of atoms: A 0.0; B 2.1

---

--- A ---
Material: Cd2Bi2Pb7
Method: DFT, GGA-PBE
State: relaxed

## Properties
As for the crystal system: monoclinic.

```
Cd2Bi2Pb7
1.0
8.033 -0.267 -0.385
-1.151 6.718 1.053
-1.151 -1.373 6.660
Cd Bi Pb
2 2 7
Cartesian
5.236 0.344 0.496 Cd
0.494 4.734 6.831 Cd
2.865 0.782 4.881 Bi
2.865 4.296 2.446 Bi
0.053 5.364 3.787 Pb
5.677 3.415 0.975 Pb
5.677 -0.286 3.540 Pb
0.053 1.663 6.352 Pb
0.000 0.000 0.000 Pb
5.489 3.092 4.462 Pb
0.241 1.985 2.865 Pb
```

---

--- B ---
Material: Cd2Bi2Pb7
Method: DFT, GGA-PBE
State: relaxed

## Properties
As for the crystal system: orthorhombic.

```
Cd2Bi2Pb7
1.0
4.909 0.000 0.945
1.866 8.101 3.525
0.813 0.169 8.991
Cd Bi Pb
2 2 7
Cartesian
6.392 5.218 6.458 Cd
3.624 2.851 7.615 Cd
5.651 7.861 10.304 Bi
2.206 2.432 1.763 Bi
4.415 0.436 3.509 Pb
5.794 4.212 9.562 Pb
4.207 7.248 4.585 Pb
4.259 3.826 4.318 Pb
3.581 6.340 7.836 Pb
2.925 5.963 11.242 Pb
1.508 1.902 5.385 Pb
```

---

List of relative energies, unit kJ/mol of atoms: A 3.2; B 0.0

---

--- A ---
Material: CdBi4Pb5
Method: DFT, GGA-PBE
State: relaxed

## Properties
As for the crystal system: tetragonal.

```
CdBi4Pb5
1.0
-0.551 2.760 2.279
-3.331 0.449 -1.349
-8.630 -15.148 16.263
Cd Bi Pb
1 4 5
Cartesian
0.000 0.000 0.000 Cd
-1.657 -2.909 3.123 Bi
-3.421 -6.006 6.448 Bi
-5.208 -9.142 9.815 Bi
-6.973 -12.240 13.140 Bi
-2.717 0.241 1.928 Pb
-4.472 -2.840 5.236 Pb
-6.256 -5.969 8.596 Pb
-8.039 -9.099 11.956 Pb
-9.794 -12.180 15.264 Pb
```

---

--- B ---
Material: CdBi4Pb5
Method: DFT, GGA-PBE
State: relaxed

## Properties
As for the crystal system: monoclinic.

```
CdBi4Pb5
1.0
4.379 0.000 0.000
0.000 8.086 0.191
-2.189 -1.092 9.220
Cd Bi Pb
1 4 5
Cartesian
2.189 0.000 0.000 Cd
0.000 7.259 6.060 Bi
2.189 5.217 8.230 Bi
2.189 -0.265 3.351 Bi
0.000 1.777 1.182 Bi
2.189 4.757 5.025 Pb
2.189 1.610 7.041 Pb
0.000 5.384 2.370 Pb
2.189 4.043 0.095 Pb
0.000 2.238 4.387 Pb
```

---

List of relative energies, unit kJ/mol of atoms: A 0.0; B 2.7

---

--- A ---
Material: CdBi3Pb
Method: DFT, GGA-PBE
State: relaxed

## Properties
As for the crystal system: cubic.

```
CdBi3Pb
1.0
5.683 0.000 0.000
0.000 5.683 0.000
0.000 0.000 5.683
Pb Bi Cd
1 3 1
Cartesian
2.842 2.842 2.842 Pb
0.000 2.842 0.000 Bi
0.000 0.000 2.842 Bi
2.842 0.000 0.000 Bi
0.000 0.000 0.000 Cd
```

---

--- B ---
Material: CdBi3Pb
Method: DFT, GGA-PBE
State: relaxed

## Properties
As for the crystal system: monoclinic.

```
CdBi3Pb
1.0
0.161 2.740 4.312
7.310 -3.986 2.260
7.825 11.846 -4.420
Cd Bi Pb
4 12 4
Cartesian
8.248 10.779 -1.460 Cd
7.048 -0.180 3.612 Cd
9.981 4.863 -1.032 Cd
5.315 5.736 3.184 Cd
12.549 6.177 0.092 Bi
2.747 4.423 2.060 Bi
8.838 7.744 -1.607 Bi
6.458 2.855 3.759 Bi
7.635 6.935 1.290 Bi
7.661 3.664 0.862 Bi
14.105 9.620 1.566 Bi
1.191 0.979 0.586 Bi
9.109 0.705 1.066 Bi
6.187 9.894 1.086 Bi
4.229 1.492 1.769 Bi
11.066 9.108 0.383 Bi
10.383 4.613 2.590 Pb
4.913 5.986 -0.438 Pb
10.388 12.471 -0.034 Pb
4.908 -1.871 2.186 Pb
```

---

List of relative energies, unit kJ/mol of atoms: A 42.2; B 0.0